1.
# Rb2UAs2Se6

Crystalline Rb2UAs2Se6 at its relaxed geometry (GGA-PBE, the Alexandria database).

a b c (Å): 15.520 7.370 7.340
angles (deg): 90.00 112.27 90.00
Space group C2/m (No. 12)
Unique sites:
Rb  0.242  0.000  0.227
U  0.000  0.500  0.000
As  0.030  0.000  0.363
Se  0.074  0.239  0.822
Se  0.167  0.500  0.257

Computed properties:
Energy relative to the elements, uncorrected: -0.730 eV per atom
E_tot: -102.9 eV per cell
Calculated volume: 777 Å³ per cell
Spin magnetization: 0.109 μB/f.u.



2.
# Tb5NdIn4

Crystalline Tb5NdIn4 at its relaxed geometry (GGA-PBE, the Alexandria database).

a b c (Å): 3.570 3.570 22.131
angles (deg): 90.00 90.00 90.00
Space group P4/mmm (No. 123)
Unique sites:
Tb  0.000  0.000  0.000
Tb  0.000  0.000  0.191
Tb  0.000  0.000  0.381
Nd  0.500  0.500  0.500
In  0.500  0.500  0.096
In  0.500  0.500  0.287

Computed properties:
E_tot: -42.7 eV per cell
Calculated volume: 282 Å³ per cell
Spin magnetization: 0.001 μB/f.u.
ΔE_f: -382.5 meV per atom



3.
# YTcOs

Crystalline YTcOs at its relaxed geometry (GGA-PBE, the Alexandria database).

a b c (Å): 2.9064 2.9064 7.3420
angles (deg): 90.00 90.00 120.00
Space group P3m1 (No. 156)
Unique sites:
Y  0.0000  0.0000  0.0000
Tc  0.3333  0.6667  0.6327
Os  0.6667  0.3333  0.3603

Computed properties:
E_tot: -26.5 eV per cell
Calculated volume: 54 Å³ per cell
Spin magnetization: 0.000 μB/f.u.
Polymorph energy (0 for the lowest one): 767.8 meV/atom
ΔE_f: 520.9 meV per atom



4.
# SrCoCl

Crystalline SrCoCl at its relaxed geometry (GGA-PBE, the Alexandria database).

a b c (Å): 4.120 16.618 4.075
angles (deg): 90.00 90.00 90.00
Space group Cmcm (No. 63)
Unique sites:
Sr  0.000  0.115  0.250
Co  0.000  0.470  0.250
Cl  0.000  0.317  0.250

Computed properties:
Energy relative to the elements, uncorrected: -0.883 eV per atom
E_tot: -53.1 eV per cell
Calculated volume: 279 Å³ per cell
Spin magnetization: 1.304 μB/f.u.



5.
# Ce2Y5Pt4

Crystalline Ce2Y5Pt4 at its relaxed geometry (GGA-PBE, the Alexandria database).

a b c (Å): 20.021 4.320 7.057
angles (deg): 90.00 101.02 90.00
Space group C2/m (No. 12)
Unique sites:
Ce  0.067  0.000  0.090
Y  0.000  0.000  0.500
Y  0.144  0.500  0.763
Y  0.211  0.500  0.300
Pt  0.145  0.000  0.486
Pt  0.204  0.000  0.020

Computed properties:
E_tot: -153.6 eV per cell
Calculated volume: 599 Å³ per cell
Spin magnetization: 2.525 μB/f.u.
ΔE_f: -768.5 meV per atom



6.
# PrTcH4

Crystalline PrTcH4 at its relaxed geometry (GGA-PBE, the Alexandria database).

a b c (Å): 3.715 12.332 5.216
angles (deg): 90.00 90.00 90.00
Space group Cmcm (No. 63)
Unique sites:
Pr  0.000  0.132  0.250
Tc  0.000  0.402  0.250
H  0.000  0.089  0.750
H  0.000  0.303  0.014
H  0.000  0.500  0.000

Computed properties:
E_tot: -123.5 eV per cell
Calculated volume: 239 Å³ per cell
Spin magnetization: 0.000 μB/f.u.



7.
# AcSm9Tm2

Crystalline AcSm9Tm2 at its relaxed geometry (GGA-PBE, the Alexandria database).

a b c (Å): 5.136 5.136 15.434
angles (deg): 90.00 90.00 90.00
Space group P4/mmm (No. 123)
Unique sites:
Ac  0.000  0.000  0.000
Sm  0.000  0.500  0.174
Sm  0.000  0.500  0.500
Sm  0.500  0.500  0.000
Sm  0.500  0.500  0.338
Tm  0.000  0.000  0.337

Computed properties:
E_tot: -55.2 eV per cell
Calculated volume: 407 Å³ per cell
Spin magnetization: 0.000 μB/f.u.
ΔE_f: 30.9 meV per atom



8.
# Al2TlTe

Crystalline Al2TlTe at its relaxed geometry (GGA-PBE, the Alexandria database).

a b c (Å): 5.126 5.126 3.740
angles (deg): 90.00 90.00 90.00
Space group P4/mmm (No. 123)
Unique sites:
Al  0.000  0.500  0.000
Tl  0.000  0.000  0.500
Te  0.500  0.500  0.500

Computed properties:
Energy relative to the elements, uncorrected: 0.229 eV per atom
E_tot: -12.1 eV per cell
Calculated volume: 98 Å³ per cell
Spin magnetization: 0.000 μB/f.u.
Polymorph energy (0 for the lowest one): 176.9 meV/atom



9.
# Re4Sb

Crystalline Re4Sb at its relaxed geometry (GGA-PBE, the Alexandria database).

a b c (Å): 4.099 4.099 11.252
angles (deg): 90.00 90.00 90.00
Space group I4/mmm (No. 139)
Unique sites:
Re  0.000  0.000  0.118
Re  0.000  0.500  0.250
Sb  0.000  0.000  0.500

Computed properties:
Energy relative to the elements, uncorrected: 0.535 eV per atom
E_tot: -102.5 eV per cell
Calculated volume: 189 Å³ per cell
Spin magnetization: 0.000 μB/f.u.
Polymorph energy (0 for the lowest one): 113.8 meV/atom



10.
# Si2Os2N

Crystalline Si2Os2N at its relaxed geometry (GGA-PBE, the Alexandria database).

a b c (Å): 3.380 3.380 11.999
angles (deg): 90.00 90.00 90.00
Space group I4/mmm (No. 139)
Unique sites:
Si  0.000  0.500  0.250
Os  0.000  0.000  0.110
N  0.000  0.000  0.500

Computed properties:
Energy relative to the elements, uncorrected: 0.888 eV per atom
E_tot: -74.4 eV per cell
Calculated volume: 137 Å³ per cell
Spin magnetization: 0.000 μB/f.u.
Polymorph energy (0 for the lowest one): 167.1 meV/atom



11.
# La2NdTl4

Crystalline La2NdTl4 at its relaxed geometry (GGA-PBE, the Alexandria database).

a b c (Å): 7.766 7.766 7.921
angles (deg): 90.00 90.00 90.00
Space group I4/mmm (No. 139)
Unique sites:
La  0.000  0.500  0.000
Nd  0.000  0.000  0.000
Tl  0.250  0.250  0.250

Computed properties:
E_tot: -51.7 eV per cell
Calculated volume: 478 Å³ per cell
Spin magnetization: 0.726 μB/f.u.
ΔE_f: -253.4 meV per atom



12.
# TbGdHoTm

Crystalline TbGdHoTm at its relaxed geometry (GGA-PBE, the Alexandria database).

a b c (Å): 7.975 7.975 7.975
angles (deg): 90.00 90.00 90.00
Space group F-43m (No. 216)
Unique sites:
Tb  0.000  0.000  0.000
Gd  0.000  0.000  0.500
Ho  0.250  0.250  0.750
Tm  0.250  0.250  0.250

Computed properties:
E_tot: -109.2 eV per cell
Calculated volume: 507 Å³ per cell
Spin magnetization: 8.293 μB/f.u.
ΔE_f: 117.3 meV per atom